Record 1
PBE Ca2GaRh3, relaxed; ρ = 6.99 Mg/m³; total moment = 0.00 μB per formula unit; V = 18.2 Å³ per atom; calculated formation energy = -609 meV per atom; energy = -32.74 eV for the cell shown; relative energy among the computed polymorphs = 0 meV/atom; symmetry = No. 166
1.0
2.778 1.604 4.076
-2.778 1.604 4.076
0.000 -3.208 4.076
Ca Ga Rh
2 1 3
Cartesian
0.000 0.000 1.550 Ca
0.000 0.000 10.677 Ca
0.000 0.000 6.114 Ga
-1.389 -0.802 4.076 Rh
-1.389 0.802 8.152 Rh
0.000 1.604 4.076 Rh

Record 2
PBE Zr2Co, relaxed; ρ = 7.05 Mg/m³; total moment = 0.00 μB per formula unit; V = 19.0 Å³ per atom; calculated formation energy = -166 meV per atom; energy = -74.10 eV for the cell shown; symmetry = No. 189
1.0
6.662 0.000 0.000
-3.331 5.770 0.000
0.000 0.000 4.439
Zr Co
6 3
Cartesian
-0.895 1.551 0.000 Zr
-1.997 3.459 2.220 Zr
1.791 0.000 0.000 Zr
1.334 2.311 2.220 Zr
3.994 0.000 2.220 Zr
2.436 4.219 0.000 Zr
0.000 0.000 2.220 Co
0.000 3.846 0.000 Co
3.331 1.923 0.000 Co

Record 3
PBE Li4LaP, relaxed; ρ = 2.87 Mg/m³; total moment = 0.40 μB per formula unit; V = 19.1 Å³ per atom; calculated formation energy = -25 meV per atom; energy = -18.15 eV for the cell shown; symmetry = No. 216
1.0
0.000 3.853 3.853
3.853 0.000 3.853
3.853 3.853 0.000
Li La P
4 1 1
Cartesian
0.945 0.945 0.945 Li
2.908 2.908 0.945 Li
2.908 0.945 2.908 Li
0.945 2.908 2.908 Li
3.853 3.853 3.853 La
5.780 5.780 5.780 P

Record 4
PBE TbHo12Ni4, relaxed; ρ = 7.91 Mg/m³; total moment = 0.00 μB per formula unit; V = 29.3 Å³ per atom; calculated formation energy = -18 meV per atom; energy = -83.00 eV for the cell shown; symmetry = No. 204
1.0
-4.994 4.994 4.994
4.994 -4.994 4.994
4.994 4.994 -4.994
Tb Ho Ni
1 12 4
Cartesian
0.000 0.000 0.000 Tb
4.994 3.201 -1.875 Ho
3.119 0.000 1.792 Ho
6.869 0.000 1.792 Ho
1.792 3.119 0.000 Ho
3.201 -1.875 4.994 Ho
0.000 1.792 3.119 Ho
4.994 3.201 1.875 Ho
1.792 6.869 0.000 Ho
3.201 1.875 4.994 Ho
-1.875 4.994 3.201 Ho
1.875 4.994 3.201 Ho
0.000 1.792 6.869 Ho
2.497 2.497 -2.497 Ni
2.497 -2.497 2.497 Ni
-2.497 2.497 2.497 Ni
2.497 2.497 2.497 Ni

Record 5
PBE Ta2GaB2Os5, relaxed; ρ = 17.57 Mg/m³; total moment = 0.00 μB per formula unit; V = 13.3 Å³ per atom; calculated formation energy = -368 meV per atom; energy = -199.83 eV for the cell shown; symmetry = No. 127
1.0
9.406 0.000 0.000
0.000 9.406 0.000
0.000 0.000 3.001
Ta Ga B Os
4 2 4 10
Cartesian
1.670 3.033 0.000 Ta
3.033 7.736 0.000 Ta
6.373 1.670 0.000 Ta
7.736 6.373 0.000 Ta
0.000 0.000 0.000 Ga
4.703 4.703 0.000 Ga
1.174 5.877 0.000 B
3.529 1.174 0.000 B
5.877 8.232 0.000 B
8.232 3.529 0.000 B
0.000 4.703 1.500 Os
0.643 7.383 1.500 Os
2.023 0.643 1.500 Os
2.680 5.346 1.500 Os
4.060 2.680 1.500 Os
4.703 0.000 1.500 Os
5.346 6.726 1.500 Os
6.726 4.060 1.500 Os
7.383 8.763 1.500 Os
8.763 2.023 1.500 Os

Record 6
PBE Tl2TcW, relaxed; ρ = 15.09 Mg/m³; total moment = 0.00 μB per formula unit; V = 19.0 Å³ per atom; calculated formation energy = 984 meV per atom; energy = -24.12 eV for the cell shown; relative energy among the computed polymorphs = 537 meV/atom; symmetry = No. 166
1.0
1.531 0.884 9.352
-1.531 0.884 9.352
0.000 -1.768 9.352
Tl Tc W
2 1 1
Cartesian
0.000 0.000 6.941 Tl
0.000 0.000 21.113 Tl
0.000 0.000 14.027 Tc
0.000 0.000 0.000 W

Record 7
PBE Ag2Pb, relaxed; ρ = 10.63 Mg/m³; total moment = 0.00 μB per formula unit; V = 22.0 Å³ per atom; calculated formation energy = 84 meV per atom; energy = -18.32 eV for the cell shown; symmetry = No. 12
1.0
5.641 -1.614 0.000
5.641 1.614 0.000
-2.766 0.000 7.260
Ag Pb
4 2
Cartesian
-0.213 0.000 1.814 Ag
1.301 0.000 7.086 Ag
7.215 0.000 0.174 Ag
8.729 0.000 5.446 Ag
2.775 0.000 2.704 Pb
5.742 0.000 4.556 Pb

Record 8
PBE In3PtCl, relaxed; ρ = 6.73 Mg/m³; total moment = 0.00 μB per formula unit; energy relative to the elements, uncorrected = -0.579 eV/atom; V = 28.4 Å³ per atom; energy = -19.00 eV for the cell shown; relative energy among the computed polymorphs = 0 meV/atom; symmetry = No. 221
1.0
5.215 0.000 0.000
0.000 5.215 0.000
0.000 0.000 5.215
In Pt Cl
3 1 1
Cartesian
0.000 0.000 2.608 In
0.000 2.608 0.000 In
2.608 0.000 0.000 In
0.000 0.000 0.000 Pt
2.608 2.608 2.608 Cl

Record 9
PBE Na4Tm3PuS8, relaxed; ρ = 5.03 Mg/m³; total moment = 5.00 μB per formula unit; energy relative to the elements, uncorrected = -1.763 eV/atom; V = 22.7 Å³ per atom; energy = -94.25 eV for the cell shown; symmetry = No. 166
1.0
3.964 2.289 6.662
-3.964 2.289 6.662
0.000 -4.577 6.662
Na Tm Pu S
4 3 1 8
Cartesian
0.000 0.000 0.000 Na
-1.982 -1.144 6.662 Na
-1.982 1.144 13.324 Na
0.000 2.289 6.662 Na
-3.964 0.000 9.993 Tm
-1.982 1.144 3.331 Tm
1.982 1.144 3.331 Tm
0.000 0.000 9.993 Pu
-2.018 -1.165 11.492 S
0.000 0.000 4.824 S
0.000 -2.330 8.494 S
-2.018 1.165 8.494 S
2.018 -1.165 11.492 S
0.000 2.330 11.492 S
0.000 0.000 15.163 S
2.018 1.165 8.494 S

Record 10
PBE CsV3Pt, relaxed; ρ = 6.22 Mg/m³; total moment = 8.16 μB per formula unit; V = 25.7 Å³ per atom; calculated formation energy = 1071 meV per atom; energy = -28.90 eV for the cell shown; relative energy among the computed polymorphs = 0 meV/atom; symmetry = No. 221
1.0
5.046 0.000 0.000
0.000 5.046 0.000
0.000 0.000 5.046
Cs V Pt
1 3 1
Cartesian
0.000 0.000 0.000 Cs
0.000 2.523 2.523 V
2.523 0.000 2.523 V
2.523 2.523 0.000 V
2.523 2.523 2.523 Pt

Record 11
PBE Li2PrNiH8, relaxed; ρ = 3.69 Mg/m³; total moment = 0.00 μB per formula unit; V = 8.3 Å³ per atom; energy = -45.33 eV for the cell shown; symmetry = No. 164
1.0
4.297 0.000 0.000
-2.149 3.722 0.000
0.000 0.000 6.227
Li Pr Ni H
2 1 1 8
Cartesian
0.000 2.481 2.380 Li
2.149 1.241 3.848 Li
0.000 0.000 0.000 Pr
0.000 0.000 3.114 Ni
0.000 1.233 4.047 H
-1.081 3.105 4.047 H
1.068 0.617 2.180 H
0.000 2.481 0.409 H
2.149 1.241 5.818 H
1.081 3.105 4.047 H
3.229 0.617 2.180 H
2.149 2.488 2.180 H

Record 12
PBE K2RuBr5, relaxed; ρ = 3.45 Mg/m³; total moment = 1.01 μB per formula unit; energy relative to the elements, uncorrected = -0.906 eV/atom; V = 34.8 Å³ per atom; energy = -27.09 eV for the cell shown; relative energy among the computed polymorphs = 29 meV/atom; symmetry = No. 107
1.0
-3.876 3.876 4.630
3.876 -3.876 4.630
3.876 3.876 -4.630
K Ru Br
2 1 5
Cartesian
3.876 0.000 0.000 K
0.000 3.876 0.000 K
0.000 0.000 2.116 Ru
2.110 2.110 -2.297 Br
1.766 -1.766 2.333 Br
-1.766 1.766 2.333 Br
1.766 1.766 2.333 Br
0.000 0.000 8.997 Br

ρ of number 9 (Na4Tm3PuS8)? 5.03 Mg/m³